Entry 1:
5
Lattice="-2.101 -4.144 -1.169 3.900 -2.382 1.437 -1.386 -0.244 3.356" Properties=species:S:1:pos:R:3 comment="PBE-GGA NbP2IrO, relaxed" space_group="No. 123" final_energy_ev_per_atom=-6.646 volume_a3_per_cell=83.5 pbc="T T T"
Nb 0.207 -3.385 1.813
O -0.693 -0.122 1.678
P 1.950 -1.191 0.719
P -1.050 -2.072 -0.584
Ir 0.000 0.000 0.000


Entry 2:
5
Lattice="-0.720 2.117 -4.354 0.754 -4.299 -2.216 -3.669 -0.765 0.235" Properties=species:S:1:pos:R:3 comment="PBE-GGA NbP2IrO, relaxed" space_group="No. 123" final_energy_ev_per_atom=-6.693 volume_a3_per_cell=90.0 pbc="T T T"
P -0.360 1.059 -2.177
P 0.377 -2.150 -1.108
Nb 0.000 0.000 0.000
O -1.834 -0.382 0.118
Ir -1.817 -1.473 -3.167


Entry 3:
12
Lattice="5.528 0.000 0.000 -2.764 4.787 0.000 0.000 0.000 8.392" Properties=species:S:1:pos:R:3 comment="PBE-GGA RbNbIr2O8, relaxed" space_group="No. 147" final_energy_ev_per_atom=-6.750 volume_a3_per_cell=222.1 pbc="T T T"
Nb 0.000 0.000 4.196
O -1.203 4.389 5.398
O 2.764 1.596 0.403
O 1.639 3.635 5.398
O 0.000 3.191 7.989
O 3.199 3.236 2.994
O 3.967 0.398 2.994
O 1.125 1.153 2.994
O -0.435 1.551 5.398
Ir 0.000 3.191 6.220
Ir 2.764 1.596 2.172
Rb 0.000 0.000 0.000


Entry 4:
18
Lattice="-6.239 -3.127 2.572 -0.012 -3.126 6.748 -3.719 3.278 5.544" Properties=species:S:1:pos:R:3 comment="PBE-GGA Rb2Nb3IrO12, relaxed" space_group="No. 166" final_energy_ev_per_atom=-7.538 volume_a3_per_cell=294.4 pbc="T T T"
Nb -1.859 1.639 2.772
Nb -3.119 -1.563 1.286
Nb -0.006 -1.563 3.374
O -4.519 -4.088 6.738
O -3.137 -2.886 8.879
O -0.612 -2.175 5.206
O -5.451 1.113 8.127
O -4.584 -2.175 2.541
O -5.385 -0.800 12.323
O -2.945 -0.089 8.593
O -2.976 1.912 4.438
O -6.833 -0.089 5.986
O -6.993 -4.887 10.427
O -9.358 -0.800 9.659
O -7.024 -2.886 6.271
Ir 0.000 0.000 0.000
Rb -3.810 -1.137 5.681
Rb -6.160 -1.838 9.184


Entry 5:
10
Lattice="-0.602 2.977 -4.837 -4.021 -3.659 -1.751 -0.523 2.618 5.049" Properties=species:S:1:pos:R:3 comment="PBE-GGA Rb2NbIrO6, relaxed" space_group="No. 225" final_energy_ev_per_atom=-6.682 volume_a3_per_cell=131.7 pbc="T T T"
O -3.742 0.805 -2.410
O -1.670 2.447 3.416
O -1.408 1.127 0.868
O -3.699 0.601 2.532
O -1.974 3.949 0.975
O -4.003 2.102 0.091
Rb -1.720 2.625 -1.543
Rb -3.430 -0.694 0.001
Nb -2.836 2.275 1.753
Ir -1.127 5.593 0.210


Entry 6:
18
Lattice="-4.333 0.672 2.465 0.092 -2.723 -4.229 1.625 -7.601 4.931" Properties=species:S:1:pos:R:3 comment="PBE-GGA NbIrRhO6, relaxed" space_group="No. 163" final_energy_ev_per_atom=-7.566 volume_a3_per_cell=201.7 pbc="T T T"
O -2.838 -7.792 3.951
O 0.007 -7.323 3.736
O -1.479 -6.205 5.950
O 0.658 -4.668 -0.977
O -2.623 -2.329 -0.569
O -1.136 -3.447 -2.783
O -3.274 -4.984 4.144
O 0.222 -1.860 -0.784
O -1.823 -6.120 1.916
O -0.793 -3.533 1.251
O -0.428 -4.538 3.894
O -2.188 -5.114 -0.727
Rh 0.000 0.000 0.000
Rh 0.813 -3.801 2.465
Ir -2.452 -2.360 1.466
Ir -0.164 -7.292 1.700
Nb -0.977 -3.492 -0.765
Nb -1.639 -6.160 3.932


Entry 7:
5
Lattice="-0.663 3.695 2.921 -2.540 -2.946 3.150 4.045 -1.065 2.265" Properties=species:S:1:pos:R:3 comment="PBE-GGA NbSiIr2O, relaxed" space_group="No. 123" final_energy_ev_per_atom=-5.757 volume_a3_per_cell=113.2 pbc="T T T"
Ir 2.022 -0.533 1.132
Ir -0.331 1.847 1.461
Si -1.270 -1.473 1.575
O 0.421 -0.159 4.168
Nb 0.000 0.000 0.000


Entry 8:
5
Lattice="4.978 0.000 0.000 0.000 3.704 0.000 0.000 0.000 4.978" Properties=species:S:1:pos:R:3 comment="PBE-GGA Nb2SiIrO, relaxed" space_group="No. 123" final_energy_ev_per_atom=-7.331 volume_a3_per_cell=91.8 pbc="T T T"
O 0.000 1.852 0.000
Si 2.489 1.852 2.489
Ir 0.000 0.000 0.000
Nb 2.489 0.000 0.000
Nb 0.000 0.000 2.489


Number 5 is which compound? Rb2NbIrO6